one | First-principles (PBE-GGA) data for a relaxed ScZnBi3 crystal, as listed in Alexandria via LeMat-Bulk.

Cell and atoms, written as POSCAR:
```
ScZnBi3
1.0
5.6020 0.0000 0.0000
0.0000 5.6020 0.0000
0.0000 0.0000 5.6020
Bi Sc Zn
3 1 1
direct
0.5000 0.0000 0.0000 Bi
0.0000 0.0000 0.5000 Bi
0.0000 0.5000 0.0000 Bi
0.0000 0.0000 0.0000 Sc
0.5000 0.5000 0.5000 Zn
```

N(E_F): 3.52 states/eV per cell
volume: 175.8 Å³ per cell
M_tot: 0.0 μB per cell
crystal system: cubic

***

two | First-principles (PBE-GGA) data for a relaxed ScZnBi3 crystal, as listed in Alexandria via LeMat-Bulk.

Cell and atoms, written as POSCAR:
```
ScZnBi3
1.0
5.3714 0.0000 0.0000
0.0000 5.3714 0.0000
0.0000 0.0000 5.3714
Bi Sc Zn
3 1 1
direct
0.0000 0.5000 0.0000 Bi
0.5000 0.0000 0.0000 Bi
0.0000 0.0000 0.5000 Bi
0.5000 0.5000 0.5000 Sc
0.0000 0.0000 0.0000 Zn
```

N(E_F): 5.19 states/eV per cell
volume: 155.0 Å³ per cell
M_tot: 0.0 μB per cell
crystal system: cubic

***

one wins, 10.3 kJ/mol of atoms ahead of the next structure.

***

one | First-principles (PBE-GGA) data for a relaxed ScZn3Bi crystal, as listed in Alexandria via LeMat-Bulk.

Cell and atoms, written as POSCAR:
```
ScZn3Bi
1.0
-4.4840 -2.5133 -0.3082
2.4622 -4.1816 -1.7233
0.5908 -1.6480 4.8429
Sc Zn Bi
1 3 1
direct
0.0000 0.0000 0.0000 Sc
0.5000 0.0000 0.0000 Zn
0.0000 0.0000 0.5000 Zn
0.0000 0.5000 0.0000 Zn
0.5000 0.5000 0.5000 Bi
```

N(E_F): 4.25 states/eV per cell
volume: 136.6 Å³ per cell
M_tot: 0.0 μB per cell
crystal system: cubic

***

two | First-principles (PBE-GGA) data for a relaxed ScZn3Bi crystal, as listed in Alexandria via LeMat-Bulk.

Cell and atoms, written as POSCAR:
```
ScZn3Bi
1.0
5.2707 0.0000 0.0000
0.0000 5.2707 0.0000
0.0000 0.0000 5.2707
Zn Sc Bi
3 1 1
direct
0.5000 0.0000 0.0000 Zn
0.0000 0.5000 0.0000 Zn
0.0000 0.0000 0.5000 Zn
0.5000 0.5000 0.5000 Sc
0.0000 0.0000 0.0000 Bi
```

N(E_F): 5.87 states/eV per cell
volume: 146.4 Å³ per cell
M_tot: 0.0 μB per cell
crystal system: cubic

***

one wins, 11.1 kJ/mol of atoms ahead of the next structure.

***

one | First-principles (PBE-GGA) data for a relaxed ZrScBi2 crystal, as listed in Alexandria via LeMat-Bulk.

Cell and atoms, written as POSCAR:
```
ZrScBi2
1.0
6.7395 0.0000 0.0000
0.0000 6.7395 0.0000
3.3698 3.3698 6.6498
Bi Sc Zr
4 2 2
direct
0.6276 0.1250 0.2500 Bi
0.1224 0.6250 0.2500 Bi
0.8750 0.8776 0.7500 Bi
0.3750 0.3724 0.7500 Bi
0.5000 0.5000 0.0000 Sc
0.2500 0.7500 0.5000 Sc
0.0000 0.0000 0.0000 Zr
0.7500 0.2500 0.5000 Zr
```

N(E_F): 8.39 states/eV per cell
volume: 302.0 Å³ per cell
M_tot: 0.0 μB per cell
crystal system: tetragonal

***

two | First-principles (PBE-GGA) data for a relaxed ZrScBi2 crystal, as listed in Alexandria via LeMat-Bulk.

Cell and atoms, written as POSCAR:
```
ZrScBi2
1.0
2.0781 -3.1440 -3.6235
2.2892 -4.4784 1.4271
-2.2797 -4.5715 -1.1125
Bi Sc Zr
2 1 1
direct
0.2500 0.2500 0.2500 Bi
0.7500 0.7500 0.7500 Bi
0.0000 0.0000 0.0000 Sc
0.5000 0.5000 0.5000 Zr
```

N(E_F): 5.02 states/eV per cell
volume: 101.0 Å³ per cell
M_tot: 1.1 μB per cell
crystal system: cubic

***

three | First-principles (PBE-GGA) data for a relaxed ZrScBi2 crystal, as listed in Alexandria via LeMat-Bulk.

Cell and atoms, written as POSCAR:
```
ZrScBi2
1.0
-3.2365 -0.3614 0.8151
-0.5919 -3.7046 -3.9926
1.3293 -3.9929 3.5078
Bi Sc Zr
2 1 1
direct
0.0000 0.0000 0.5000 Bi
0.0000 0.5000 0.0000 Bi
0.5000 0.0000 0.0000 Sc
0.5000 0.5000 0.5000 Zr
```

N(E_F): 4.28 states/eV per cell
volume: 100.8 Å³ per cell
M_tot: 1.0 μB per cell
crystal system: tetragonal

***

three wins, 0.8 kJ/mol of atoms ahead of the next structure.

***

one | First-principles (PBE-GGA) data for a relaxed ZrScBi2 crystal, as listed in Alexandria via LeMat-Bulk.

Cell and atoms, written as POSCAR:
```
ZrScBi2
1.0
4.1637 0.0000 0.0000
2.0819 3.6059 0.0000
2.0819 1.2020 7.2835
Bi Zr Sc
2 1 1
direct
0.0810 0.0810 0.7570 Bi
0.2512 0.2512 0.2464 Bi
0.4988 0.4988 0.5036 Zr
0.6690 0.6690 0.9930 Sc
```

N(E_F): 3.36 states/eV per cell
volume: 109.4 Å³ per cell
M_tot: 0.3 μB per cell
crystal system: trigonal

***

two | First-principles (PBE-GGA) data for a relaxed ZrScBi2 crystal, as listed in Alexandria via LeMat-Bulk.

Cell and atoms, written as POSCAR:
```
ZrScBi2
1.0
-3.4111 -1.2086 0.2679
1.2147 -3.1166 1.4070
-0.5035 2.9809 7.0375
Bi Zr Sc
2 1 1
direct
0.0000 0.0000 0.7445 Bi
0.0000 0.0000 0.2555 Bi
0.5000 0.5000 0.5000 Zr
0.5000 0.5000 0.0000 Sc
```

N(E_F): 4.43 states/eV per cell
volume: 100.9 Å³ per cell
M_tot: 0.8 μB per cell
crystal system: tetragonal

***

one wins, 11.5 kJ/mol of atoms ahead of the next structure.

***

one | First-principles (PBE-GGA) data for a relaxed ZrSc2Bi2 crystal, as listed in Alexandria via LeMat-Bulk.

Cell and atoms, written as POSCAR:
```
ZrSc2Bi2
1.0
8.1668 0.0000 0.0000
0.0000 8.1668 0.0000
0.0000 0.0000 3.7815
Bi Sc Zr
4 4 2
direct
0.6729 0.8271 0.5000 Bi
0.3271 0.1729 0.5000 Bi
0.1729 0.6729 0.5000 Bi
0.8271 0.3271 0.5000 Bi
0.8697 0.6303 0.0000 Sc
0.3697 0.8697 0.0000 Sc
0.6303 0.1303 0.0000 Sc
0.1303 0.3697 0.0000 Sc
0.5000 0.5000 0.0000 Zr
0.0000 0.0000 0.0000 Zr
```

N(E_F): 10.17 states/eV per cell
volume: 252.2 Å³ per cell
M_tot: 0.9 μB per cell
crystal system: tetragonal

***

two | First-principles (PBE-GGA) data for a relaxed ZrSc2Bi2 crystal, as listed in Alexandria via LeMat-Bulk.

Cell and atoms, written as POSCAR:
```
ZrSc2Bi2
1.0
-6.8565 3.3925 2.0315
-2.5516 -0.6893 -7.4607
-1.5239 -3.5906 0.8529
Bi Sc Zr
4 4 2
direct
0.3516 0.8516 0.0000 Bi
0.6484 0.1484 0.0000 Bi
0.1484 0.3516 0.0000 Bi
0.8516 0.6484 0.0000 Bi
0.8452 0.3452 0.5000 Sc
0.3452 0.1548 0.5000 Sc
0.6548 0.8452 0.5000 Sc
0.1548 0.6548 0.5000 Sc
0.5000 0.5000 0.0000 Zr
0.0000 0.0000 0.0000 Zr
```

N(E_F): 14.18 states/eV per cell
volume: 250.1 Å³ per cell
M_tot: 0.0 μB per cell
crystal system: tetragonal

***

three | First-principles (PBE-GGA) data for a relaxed ZrSc2Bi2 crystal, as listed in Alexandria via LeMat-Bulk.

Cell and atoms, written as POSCAR:
```
ZrSc2Bi2
1.0
4.3813 0.0000 0.0000
0.0000 4.3813 0.0000
2.1907 2.1907 7.5222
Bi Zr Sc
2 1 2
direct
0.7500 0.2500 0.5000 Bi
0.2500 0.7500 0.5000 Bi
0.0000 0.0000 0.0000 Zr
0.5972 0.5972 0.8057 Sc
0.4028 0.4028 0.1943 Sc
```

N(E_F): 5.14 states/eV per cell
volume: 144.4 Å³ per cell
M_tot: 2.0 μB per cell
crystal system: tetragonal

***

two wins, 26.1 kJ/mol of atoms ahead of the next structure.

***

one | First-principles (PBE-GGA) data for a relaxed SiBiSe2 crystal, as listed in Alexandria via LeMat-Bulk.

Cell and atoms, written as POSCAR:
```
SiBiSe2
1.0
2.0967 0.0000 8.8159
-1.0483 1.8158 8.8159
-1.0483 -1.8158 8.8159
Bi Se Si
1 2 1
direct
0.0000 0.0000 0.0000 Bi
0.8878 0.8878 0.8878 Se
0.1122 0.1122 0.1122 Se
0.5000 0.5000 0.5000 Si
```

N(E_F): 1.24 states/eV per cell
volume: 100.7 Å³ per cell
M_tot: 0.0 μB per cell
crystal system: trigonal

***

two | First-principles (PBE-GGA) data for a relaxed SiBiSe2 crystal, as listed in Alexandria via LeMat-Bulk.

Cell and atoms, written as POSCAR:
```
SiBiSe2
1.0
7.4615 0.0000 0.0000
0.0000 7.4615 0.0000
3.7307 3.7307 3.5844
Bi Se Si
2 4 2
direct
0.7500 0.2500 0.5000 Bi
0.0000 0.0000 0.0000 Bi
0.3750 0.4159 0.7500 Se
0.5841 0.1250 0.2500 Se
0.8750 0.8341 0.7500 Se
0.1659 0.6250 0.2500 Se
0.5000 0.5000 0.0000 Si
0.2500 0.7500 0.5000 Si
```

N(E_F): 3.36 states/eV per cell
volume: 199.6 Å³ per cell
M_tot: 0.0 μB per cell
crystal system: tetragonal

***

three | First-principles (PBE-GGA) data for a relaxed SiBiSe2 crystal, as listed in Alexandria via LeMat-Bulk.

Cell and atoms, written as POSCAR:
```
SiBiSe2
1.0
-5.8223 -1.8512 6.5723
-2.5255 -3.7974 7.7280
-2.9104 0.1099 8.4875
Si Se Bi
1 2 1
direct
0.0000 0.0000 0.0000 Si
0.0959 0.0959 0.0959 Se
0.9041 0.9041 0.9041 Se
0.5000 0.5000 0.5000 Bi
```

N(E_F): 1.05 states/eV per cell
volume: 120.1 Å³ per cell
M_tot: 0.0 μB per cell
crystal system: trigonal

***

one wins, 21.4 kJ/mol of atoms ahead of the next structure.

***

one | First-principles (PBE-GGA) data for a relaxed SiBiSe3 crystal, as listed in Alexandria via LeMat-Bulk.

Cell and atoms, written as POSCAR:
```
SiBiSe3
1.0
7.6714 3.2938 0.7560
-0.8958 8.3004 -0.7560
-4.1032 -5.3791 4.9498
Se Bi Si
6 2 2
direct
0.8772 0.2746 0.1026 Se
0.0300 0.2815 0.7470 Se
0.5345 0.2830 0.2530 Se
0.1720 0.7746 0.8974 Se
0.0300 0.7830 0.2485 Se
0.5345 0.7815 0.7515 Se
0.6666 0.6855 0.4811 Bi
0.2044 0.1855 0.5189 Bi
0.5720 0.1337 0.9383 Si
0.1954 0.6337 0.0617 Si
```

N(E_F): 4.92 states/eV per cell
volume: 338.2 Å³ per cell
M_tot: 0.0 μB per cell
crystal system: orthorhombic

***

two | First-principles (PBE-GGA) data for a relaxed SiBiSe3 crystal, as listed in Alexandria via LeMat-Bulk.

Cell and atoms, written as POSCAR:
```
SiBiSe3
1.0
4.8872 0.0000 0.0000
0.0000 4.8872 0.0000
0.0000 0.0000 4.8872
Se Si Bi
3 1 1
direct
0.0000 0.5000 0.0000 Se
0.0000 0.0000 0.5000 Se
0.5000 0.0000 0.0000 Se
0.0000 0.0000 0.0000 Si
0.5000 0.5000 0.5000 Bi
```

N(E_F): 2.85 states/eV per cell
volume: 116.7 Å³ per cell
M_tot: 0.0 μB per cell
crystal system: cubic

***

one wins, 22.1 kJ/mol of atoms ahead of the next structure.

***

one | First-principles (PBE-GGA) data for a relaxed SmBi2Se4 crystal, as listed in Alexandria via LeMat-Bulk.

Cell and atoms, written as POSCAR:
```
SmBi2Se4
1.0
-2.9099 1.3401 3.0069
-3.6133 -2.1749 -5.7376
-0.5310 -12.7335 5.1612
Sm Bi Se
2 4 8
direct
0.6253 0.2507 0.7500 Sm
0.3747 0.7493 0.2500 Sm
0.1265 0.2529 0.0640 Bi
0.8735 0.7471 0.5640 Bi
0.1265 0.2529 0.4360 Bi
0.8735 0.7471 0.9360 Bi
0.9817 0.9634 0.7500 Se
0.2247 0.4493 0.8760 Se
0.7753 0.5507 0.3760 Se
0.5000 0.0000 0.0000 Se
0.0183 0.0366 0.2500 Se
0.5000 0.0000 0.5000 Se
0.2247 0.4493 0.6240 Se
0.7753 0.5507 0.1240 Se
```

N(E_F): 3.54 states/eV per cell
volume: 409.2 Å³ per cell
M_tot: 0.0 μB per cell
crystal system: orthorhombic

***

two | First-principles (PBE-GGA) data for a relaxed SmBi2Se4 crystal, as listed in Alexandria via LeMat-Bulk.

Cell and atoms, written as POSCAR:
```
SmBi2Se4
1.0
-0.7588 -2.8715 -3.4846
7.7638 -6.8047 3.9169
-11.8945 -8.1935 9.3419
Se Bi Sm
16 8 4
direct
0.7500 0.3050 0.4720 Se
0.2500 0.6950 0.5280 Se
0.7500 0.1927 0.7720 Se
0.2500 0.3073 0.2720 Se
0.2500 0.5180 0.0989 Se
0.2500 0.3954 0.6593 Se
0.7500 0.9820 0.5989 Se
0.7500 0.6927 0.7280 Se
0.2500 0.0180 0.4011 Se
0.2500 0.8954 0.8407 Se
0.7500 0.4820 0.9011 Se
0.2500 0.8073 0.2280 Se
0.2500 0.1950 0.9720 Se
0.7500 0.1046 0.1593 Se
0.7500 0.8050 0.0280 Se
0.7500 0.6046 0.3407 Se
0.7500 0.0277 0.8898 Bi
0.2500 0.1759 0.5300 Bi
0.7500 0.8241 0.4700 Bi
0.2500 0.4723 0.3898 Bi
0.2500 0.6759 0.9700 Bi
0.7500 0.3241 0.0300 Bi
0.2500 0.9723 0.1102 Bi
0.7500 0.5277 0.6102 Bi
0.2500 0.8394 0.6731 Sm
0.7500 0.1606 0.3269 Sm
0.2500 0.3394 0.8269 Sm
0.7500 0.6606 0.1731 Sm
```

N(E_F): 4.88 states/eV per cell
volume: 869.6 Å³ per cell
M_tot: 0.0 μB per cell
crystal system: orthorhombic

***

two wins, 2.0 kJ/mol of atoms ahead of the next structure.

***

one | First-principles (PBE-GGA) data for a relaxed SmBiSe3 crystal, as listed in Alexandria via LeMat-Bulk.

Cell and atoms, written as POSCAR:
```
SmBiSe3
1.0
4.2121 0.0000 0.0000
0.0000 7.3436 0.0000
-2.1061 0.0000 10.6174
Se Bi Sm
6 2 2
direct
0.9148 0.3194 0.8295 Se
0.2512 0.1616 0.5023 Se
0.4090 0.8304 0.8181 Se
0.0852 0.8194 0.1705 Se
0.5910 0.3304 0.1819 Se
0.7488 0.6616 0.4977 Se
0.6510 0.9926 0.3020 Bi
0.3490 0.4926 0.6980 Bi
0.1646 0.4901 0.3293 Sm
0.8354 0.9901 0.6707 Sm
```

volume: 328.4 Å³ per cell
M_tot: 0.0 μB per cell
crystal system: orthorhombic

***

two | First-principles (PBE-GGA) data for a relaxed SmBiSe3 crystal, as listed in Alexandria via LeMat-Bulk.

Cell and atoms, written as POSCAR:
```
SmBiSe3
1.0
4.2153 0.0000 0.0000
0.0000 7.1994 -1.7697
0.0000 0.3055 10.6562
Se Sm Bi
6 2 2
direct
0.2500 0.2390 0.4970 Se
0.7500 0.9451 0.1456 Se
0.2500 0.4887 0.1627 Se
0.7500 0.7610 0.5030 Se
0.7500 0.5113 0.8373 Se
0.2500 0.0549 0.8544 Se
0.2500 0.7332 0.9738 Sm
0.7500 0.2668 0.0262 Sm
0.7500 0.1387 0.6492 Bi
0.2500 0.8613 0.3508 Bi
```

volume: 325.7 Å³ per cell
M_tot: 0.0 μB per cell
crystal system: monoclinic

***

two wins, 1.8 kJ/mol of atoms ahead of the next structure.

***

one | First-principles (PBE-GGA) data for a relaxed SnBi2Se crystal, as listed in Alexandria via LeMat-Bulk.

Cell and atoms, written as POSCAR:
```
SnBi2Se
1.0
4.5336 0.0000 -0.2590
0.0000 4.4219 0.0000
1.3930 0.0000 12.7530
Se Bi Sn
2 4 2
direct
0.7805 0.7500 0.3960 Se
0.2195 0.2500 0.6040 Se
0.7199 0.2500 0.1502 Bi
0.2801 0.7500 0.8498 Bi
0.2267 0.7500 0.0930 Bi
0.7733 0.2500 0.9070 Bi
0.7956 0.7500 0.6116 Sn
0.2044 0.2500 0.3884 Sn
```

N(E_F): 2.31 states/eV per cell
volume: 257.3 Å³ per cell
M_tot: 0.0 μB per cell
crystal system: monoclinic

***

two | First-principles (PBE-GGA) data for a relaxed SnBi2Se crystal, as listed in Alexandria via LeMat-Bulk.

Cell and atoms, written as POSCAR:
```
SnBi2Se
1.0
-0.4808 -5.9143 -2.8352
5.6543 1.0667 -3.1842
6.4167 -5.5012 2.7604
Bi Se Sn
4 2 2
direct
0.3750 0.4000 0.7500 Bi
0.1500 0.6250 0.2500 Bi
0.8750 0.8500 0.7500 Bi
0.6000 0.1250 0.2500 Bi
0.2500 0.7500 0.5000 Se
0.5000 0.5000 0.0000 Se
0.7500 0.2500 0.5000 Sn
0.0000 0.0000 0.0000 Sn
```

N(E_F): 2.40 states/eV per cell
volume: 327.8 Å³ per cell
M_tot: 0.0 μB per cell
crystal system: tetragonal

***

one wins, 24.5 kJ/mol of atoms ahead of the next structure.

***

one | First-principles (PBE-GGA) data for a relaxed SnBi2Se2 crystal, as listed in Alexandria via LeMat-Bulk.

Cell and atoms, written as POSCAR:
```
SnBi2Se2
1.0
4.3140 0.0000 0.0000
0.0000 4.3140 0.0000
2.1570 2.1570 8.2747
Se Bi Sn
2 2 1
direct
0.5800 0.5800 0.8399 Se
0.4200 0.4200 0.1601 Se
0.2500 0.7500 0.5000 Bi
0.7500 0.2500 0.5000 Bi
0.0000 0.0000 0.0000 Sn
```

N(E_F): 1.09 states/eV per cell
volume: 154.0 Å³ per cell
M_tot: 0.0 μB per cell
crystal system: tetragonal

***

two | First-principles (PBE-GGA) data for a relaxed SnBi2Se2 crystal, as listed in Alexandria via LeMat-Bulk.

Cell and atoms, written as POSCAR:
```
SnBi2Se2
1.0
-1.3415 -0.8376 -8.4459
-7.5555 -3.7776 1.5747
-1.7212 3.4153 -0.0653
Sn Bi Se
2 4 4
direct
0.5000 0.5000 0.0000 Sn
0.0000 0.0000 0.0000 Sn
0.1796 0.6796 0.5000 Bi
0.3204 0.1796 0.5000 Bi
0.6796 0.8204 0.5000 Bi
0.8204 0.3204 0.5000 Bi
0.3546 0.8546 0.0000 Se
0.8546 0.6454 0.0000 Se
0.1454 0.3546 0.0000 Se
0.6454 0.1454 0.0000 Se
```

N(E_F): 6.66 states/eV per cell
volume: 282.4 Å³ per cell
M_tot: 0.0 μB per cell
crystal system: tetragonal

***

two wins, 16.0 kJ/mol of atoms ahead of the next structure.